[1]
Compound: Ta4Cr3
Source: Alexandria
Functional: PBEsol
Structure: relaxed

Lattice parameters (Å, degrees): 4.8414 4.8414 5.1891 90.00 90.00 120.00
Closest atoms and distances in Å follow each position.
Atoms (fractional coordinates):
Ta1 0.0000 0.0000 0.2482  2 Ta 2.58-2.61, 6 Cr 2.75
Ta2 0.0000 0.0000 0.7518  2 Ta 2.58-2.61, 6 Cr 2.75
Ta3 0.3333 0.6667 0.0000  9 Ta 2.80-3.08, 6 Cr 2.95
Ta4 0.6667 0.3333 0.0000  9 Ta 2.80-3.08, 6 Cr 2.95
Cr1 0.0000 0.5000 0.5000  4 Cr 2.42
Cr2 0.5000 0.0000 0.5000  4 Cr 2.42
Cr3 0.5000 0.5000 0.5000  4 Cr 2.42

Magnetic moment   0.00 Bohr magnetons per cell
Density   13.870 Mg/m³
Energy   -81.21 eV per formula unit
SG   P6/mmm (191)
Formation enthalpy at 0 K   -39 meV/atom

=====

[2]
Compound: Ta2Cr
Source: Alexandria
Functional: PBEsol
Structure: relaxed

Lattice parameters (Å, degrees): 4.8237 7.1027 2.8979 90.00 90.00 90.00
Closest atoms and distances in Å follow each position.
Atoms (fractional coordinates):
Ta1 0.0012 0.1948 0.0000  4 Cr 2.61-2.79, 3 Ta 2.77-2.90
Ta2 0.4988 0.6948 0.5000  4 Cr 2.61-2.79, 3 Ta 2.77-2.90
Ta3 0.5012 0.3052 0.5000  4 Cr 2.61-2.79, 3 Ta 2.77-2.90
Ta4 0.9988 0.8052 0.0000  4 Cr 2.61-2.79, 3 Ta 2.77-2.90
Cr1 0.0000 0.5000 0.5000  8 Ta 2.61-2.79, 2 Cr 2.90
Cr2 0.5000 0.0000 0.0000  8 Ta 2.61-2.79, 2 Cr 2.90

Magnetic moment   0.00 Bohr magnetons per cell
Density   13.844 Mg/m³
Energy   -33.65 eV per formula unit
SG   Pnnm (58)
Formation enthalpy at 0 K   564 meV/atom

=====

[3]
Compound: TaCr
Source: Alexandria
Functional: PBEsol
Structure: relaxed

Lattice parameters (Å, degrees): 5.5593 5.5593 5.5593 39.45 39.45 39.45
Closest atoms and distances in Å follow each position.
Atoms (fractional coordinates):
Ta1 0.1069 0.1069 0.1069  3 Cr 2.53
Ta2 0.8931 0.8931 0.8931  3 Cr 2.53
Cr1 0.3118 0.3118 0.3118  3 Cr 2.27, 3 Ta 2.53
Cr2 0.6882 0.6882 0.6882  3 Cr 2.27, 3 Ta 2.53

Magnetic moment   0.00 Bohr magnetons per cell
Density   12.392 Mg/m³
Energy   -21.87 eV per formula unit
SG   R-3m (166)
Formation enthalpy at 0 K   461 meV/atom

=====

> Which of these has the lowest density?

TaCr

=====

> The highest density belongs to which entry?

Ta4Cr3

=====

> The highest energy belongs to which entry?

TaCr